{"formula": "SrTl2CrO4", "functional": "GGA+U", "state": "optimized geometry", "space_group": "Pmn2_1 (31)", "final_energy_ev_per_atom": -5.77, "lattice": [[7.494, 0.000, 0.000], [0.000, 8.820, 0.000], [0.000, 0.000, 5.313]], "species": ["Sr", "Sr", "Tl", "Tl", "Tl", "Tl", "Cr", "Cr", "O", "O", "O", "O", "O", "O", "O", "O"], "frac_coords": [[0.000, 0.106, 0.000], [0.500, 0.894, 0.500], [0.247, 0.319, 0.501], [0.253, 0.681, 0.001], [0.747, 0.681, 0.001], [0.753, 0.319, 0.501], [0.000, 0.866, 0.471], [0.500, 0.134, 0.971], [0.000, 0.071, 0.518], [0.000, 0.843, 0.124], [0.205, 0.781, 0.570], [0.295, 0.219, 0.070], [0.500, 0.157, 0.624], [0.500, 0.929, 0.018], [0.705, 0.219, 0.070], [0.795, 0.781, 0.570]]}